Rb2CrI6F, optimized geometry, DFT GGA+U; total magnetic moment = 3.27 μB per formula unit; total DFT energy (no corrections) = -2.867 eV per atom
1.0
-4.3377 4.3377 5.2302
4.3377 -4.3377 5.2302
4.3377 4.3377 -5.2302
Rb Cr I F
2 1 6 1
direct
0.2500 0.7500 0.5000 Rb
0.7500 0.2500 0.5000 Rb
0.0000 0.0000 0.0000 Cr
0.2242 0.2242 0.4485 I
0.2242 0.7758 0.0000 I
0.2777 0.2777 0.0000 I
0.7223 0.7223 0.0000 I
0.7758 0.2242 0.0000 I
0.7758 0.7758 0.5515 I
0.5000 0.5000 0.0000 F